Entry 1:
First-principles (SCAN) data for Sb2AsAu at its PBEsol-relaxed geometry, as listed in Alexandria via LeMat-Bulk.

Structure (POSCAR):
```
Sb2AsAu
1.0
3.1347 0.0233 0.0000
-1.0650 2.9483 0.0000
0.0000 0.0000 9.4444
Sb Au As
2 1 1
Direct
0.0000 0.0000 0.7620 Sb
0.0000 0.0000 0.2380 Sb
0.5000 0.5000 0.0000 Au
0.5000 0.5000 0.5000 As
```

- formation energy from raw total energies (meV per atom) = 325
- DOS(E_F) (states/eV/cell) = 1.956
- raw total energy (eV per atom) = -40.6421
- crystal system = orthorhombic
- space group = No. 65

---

Entry 2:
First-principles (SCAN) data for Sb2AsAu at its PBEsol-relaxed geometry, as listed in Alexandria via LeMat-Bulk.

Structure (POSCAR):
```
Sb2AsAu
1.0
-3.2282 -1.7556 1.8353
0.4916 -3.3440 -2.3340
4.5739 0.4725 3.9007
Sb As Au
2 1 1
Direct
0.7500 0.2500 0.5000 Sb
0.0000 0.0000 0.0000 Sb
0.5000 0.5000 0.0000 As
0.2500 0.7500 0.5000 Au
```

- formation energy from raw total energies (meV per atom) = 335
- DOS(E_F) (states/eV/cell) = 2.297
- raw total energy (eV per atom) = -40.6327
- crystal system = tetragonal
- space group = No. 119

---

Entry 3:
First-principles (SCAN) data for Sb2AsAu at its PBEsol-relaxed geometry, as listed in Alexandria via LeMat-Bulk.

Structure (POSCAR):
```
Sb2AsAu
1.0
-2.1690 0.8241 3.2132
-2.9757 -2.5181 -1.3629
2.4103 -4.3298 2.7375
Au As Sb
1 1 2
Direct
0.5000 0.8726 0.5000 Au
0.0000 0.4055 0.0000 As
0.0000 0.3704 0.5000 Sb
0.5000 0.8515 0.0000 Sb
```

- formation energy from raw total energies (meV per atom) = -71
- DOS(E_F) (states/eV/cell) = 1.413
- raw total energy (eV per atom) = -41.0387
- crystal system = orthorhombic
- space group = No. 25

---

Entry 4:
First-principles (SCAN) data for ScAsAu2 at its PBEsol-relaxed geometry, as listed in Alexandria via LeMat-Bulk.

Structure (POSCAR):
```
ScAsAu2
1.0
-1.9115 -0.9833 3.2089
3.3380 -0.1735 1.9352
-0.4308 4.6116 1.1565
Sc As Au
1 1 2
Direct
0.5000 0.5000 0.5000 Sc
0.0000 0.0000 0.5000 As
0.0000 0.5000 0.0000 Au
0.5000 0.0000 0.0000 Au
```

- ΔH_f (0 K) (meV/atom) = -690
- DOS(E_F) (states/eV/cell) = 0.735
- raw total energy (eV per atom) = -43.8758
- crystal system = tetragonal
- space group = No. 123

---

Entry 5:
First-principles (SCAN) data for ScAs2Au at its PBEsol-relaxed geometry, as listed in Alexandria via LeMat-Bulk.

Structure (POSCAR):
```
ScAs2Au
1.0
-0.6503 -3.3118 1.1954
2.2135 0.5608 2.7579
-4.4344 2.0080 3.1507
Sc Au As
1 1 2
Direct
0.5000 0.5000 0.5000 Sc
0.5000 0.5000 0.0000 Au
0.0000 0.0000 0.7229 As
0.0000 0.0000 0.2771 As
```

- ΔH_f (0 K) (meV/atom) = -417
- DOS(E_F) (states/eV/cell) = 2.015
- raw total energy (eV per atom) = -31.3606
- crystal system = tetragonal
- space group = No. 123

---

Entry 6:
First-principles (SCAN) data for Sc2AsAu at its PBEsol-relaxed geometry, as listed in Alexandria via LeMat-Bulk.

Structure (POSCAR):
```
Sc2AsAu
1.0
3.2769 0.0000 0.0000
1.6384 2.8379 0.0000
1.6384 0.9460 8.9265
As Sc Au
1 2 1
Direct
0.5020 0.5020 0.4940 As
0.9908 0.9908 0.0277 Sc
0.7568 0.7568 0.7298 Sc
0.2505 0.2505 0.2485 Au
```

- ΔH_f (0 K) (meV/atom) = -331
- DOS(E_F) (states/eV/cell) = 2.059
- raw total energy (eV per atom) = -29.7860
- crystal system = trigonal
- space group = No. 160

---

Entry 7:
First-principles (SCAN) data for ScAsAu2 at its PBEsol-relaxed geometry, as listed in Alexandria via LeMat-Bulk.

Structure (POSCAR):
```
ScAsAu2
1.0
-2.2777 -2.1483 1.9103
2.8052 -0.9887 2.2327
-0.0148 5.2178 2.3292
Au As Sc
2 1 1
Direct
0.1720 0.0000 0.3440 Au
0.5840 0.5000 0.1681 Au
0.3444 0.5000 0.6889 As
0.9098 0.0000 0.8195 Sc
```

- ΔH_f (0 K) (meV/atom) = -692
- DOS(E_F) (states/eV/cell) = 0.853
- raw total energy (eV per atom) = -43.8773
- crystal system = orthorhombic
- space group = No. 38

---

Entry 8:
First-principles (SCAN) data for ScAsAu2 at its PBEsol-relaxed geometry, as listed in Alexandria via LeMat-Bulk.

Structure (POSCAR):
```
ScAsAu2
1.0
4.5576 0.0000 0.0000
2.2788 4.0718 -0.1052
2.2788 1.4108 3.8210
Sc As Au
1 1 2
Direct
0.4972 0.5028 0.5028 Sc
0.7388 0.7612 0.7612 As
0.0102 0.9898 0.9898 Au
0.2538 0.2462 0.2462 Au
```

- ΔH_f (0 K) (meV/atom) = -550
- DOS(E_F) (states/eV/cell) = 0.599
- raw total energy (eV per atom) = -43.7356
- crystal system = orthorhombic
- space group = No. 44

---

Entry 9:
First-principles (SCAN) data for ScAs2Au at its PBEsol-relaxed geometry, as listed in Alexandria via LeMat-Bulk.

Structure (POSCAR):
```
ScAs2Au
1.0
3.8675 0.0000 0.0000
0.0000 3.8675 0.0000
-1.9337 -1.9337 4.7917
Sc As Au
1 2 1
Direct
0.2500 0.7500 0.5000 Sc
0.7500 0.2500 0.5000 As
0.0000 0.0000 0.0000 As
0.5000 0.5000 0.0000 Au
```

- ΔH_f (0 K) (meV/atom) = -573
- DOS(E_F) (states/eV/cell) = 2.173
- raw total energy (eV per atom) = -31.5173
- crystal system = tetragonal
- space group = No. 119

---

Entry 10:
First-principles (SCAN) data for Y2ScAsAu at its PBEsol-relaxed geometry, as listed in Alexandria via LeMat-Bulk.

Structure (POSCAR):
```
Y2ScAsAu
1.0
-1.8379 3.2966 -3.0219
-0.5197 -3.7351 -3.7586
-4.8971 -1.1039 1.7742
Y As Au Sc
2 1 1 1
Direct
0.0000 0.5000 0.0000 Y
0.0000 0.0000 0.5000 Y
0.0000 0.0000 0.0000 As
0.5000 0.0000 0.0000 Au
0.5000 0.5000 0.5000 Sc
```

- ΔH_f (0 K) (meV/atom) = -235
- DOS(E_F) (states/eV/cell) = 4.919
- raw total energy (eV per atom) = -32.0893
- crystal system = tetragonal
- space group = No. 123

---

Entry 11:
First-principles (SCAN) data for AsAu2Se at its PBEsol-relaxed geometry, as listed in Alexandria via LeMat-Bulk.

Structure (POSCAR):
```
AsAu2Se
1.0
-5.9440 2.1387 -0.1968
1.3529 -5.2582 3.4795
1.9659 5.6511 2.0357
Se Au As
2 4 2
Direct
0.0000 0.0000 0.0000 Se
0.2500 0.5000 0.7500 Se
0.1250 0.7500 0.6141 Au
0.6250 0.7500 0.1359 Au
0.3859 0.2500 0.3750 Au
0.8641 0.2500 0.8750 Au
0.7500 0.5000 0.2500 As
0.5000 0.0000 0.5000 As
```

- formation energy from raw total energies (meV per atom) = 76
- DOS(E_F) (states/eV/cell) = 4.222
- raw total energy (eV per atom) = -44.5693
- crystal system = tetragonal
- space group = No. 122

---

Entry 12:
First-principles (SCAN) data for AsAu2Se at its PBEsol-relaxed geometry, as listed in Alexandria via LeMat-Bulk.

Structure (POSCAR):
```
AsAu2Se
1.0
-2.0575 -1.6018 0.9701
1.1963 -2.2330 -1.1500
4.9239 -1.4810 7.9977
Au As Se
2 1 1
Direct
0.0000 0.0000 0.2619 Au
0.0000 0.0000 0.7381 Au
0.5000 0.5000 0.5000 As
0.5000 0.5000 0.0000 Se
```

- formation energy from raw total energies (meV per atom) = 345
- DOS(E_F) (states/eV/cell) = 1.323
- raw total energy (eV per atom) = -44.3007
- crystal system = tetragonal
- space group = No. 123

---

Entry 13:
First-principles (SCAN) data for SiAsAuSe2 at its PBEsol-relaxed geometry, as listed in Alexandria via LeMat-Bulk.

Structure (POSCAR):
```
SiAsAuSe2
1.0
4.6639 0.0000 0.0000
0.0000 4.6639 0.0000
0.0000 0.0000 4.8109
As Si Se Au
1 1 2 1
Direct
0.0000 0.0000 0.5000 As
0.0000 0.0000 0.0000 Si
0.0000 0.5000 0.0000 Se
0.5000 0.0000 0.0000 Se
0.5000 0.5000 0.5000 Au
```

- formation energy from raw total energies (meV per atom) = 728
- DOS(E_F) (states/eV/cell) = 4.430
- raw total energy (eV per atom) = -27.1762
- crystal system = tetragonal
- space group = No. 123

---

Entry 14:
First-principles (SCAN) data for TcAsAuSe2 at its PBEsol-relaxed geometry, as listed in Alexandria via LeMat-Bulk.

Structure (POSCAR):
```
TcAsAuSe2
1.0
4.8447 0.0000 0.0000
0.0000 5.0104 0.0000
0.0000 0.0000 5.0104
Au Se As Tc
1 2 1 1
Direct
0.0000 0.0000 0.0000 Au
0.0000 0.5000 0.0000 Se
0.0000 0.0000 0.5000 Se
0.5000 0.0000 0.0000 As
0.5000 0.5000 0.5000 Tc
```

- formation energy from raw total energies (meV per atom) = 1107
- DOS(E_F) (states/eV/cell) = 3.011
- raw total energy (eV per atom) = -31.8064
- crystal system = tetragonal
- space group = No. 123

---

Entry 15:
First-principles (SCAN) data for Te2AsAuSe at its PBEsol-relaxed geometry, as listed in Alexandria via LeMat-Bulk.

Structure (POSCAR):
```
Te2AsAuSe
1.0
-0.8036 0.9954 -4.5200
4.0611 -3.2847 -1.4454
-3.4669 -4.1549 -0.2986
Au Te Se As
1 2 1 1
Direct
0.5000 0.0000 0.0000 Au
0.0000 0.5000 0.0000 Te
0.0000 0.0000 0.5000 Te
0.5000 0.5000 0.5000 Se
0.0000 0.0000 0.0000 As
```

- formation energy from raw total energies (meV per atom) = 613
- DOS(E_F) (states/eV/cell) = 3.561
- raw total energy (eV per atom) = -36.1722
- crystal system = tetragonal
- space group = No. 123

---

Entry 16:
First-principles (SCAN) data for YAs2AuSe at its PBEsol-relaxed geometry, as listed in Alexandria via LeMat-Bulk.

Structure (POSCAR):
```
YAs2AuSe
1.0
4.9008 0.0000 0.0000
0.0000 4.9008 0.0000
0.0000 0.0000 5.0618
Au As Se Y
1 2 1 1
Direct
0.0000 0.0000 0.0000 Au
0.0000 0.5000 0.0000 As
0.5000 0.0000 0.0000 As
0.0000 0.0000 0.5000 Se
0.5000 0.5000 0.5000 Y
```

- formation energy from raw total energies (meV per atom) = -65
- DOS(E_F) (states/eV/cell) = 3.150
- raw total energy (eV per atom) = -31.5568
- crystal system = tetragonal
- space group = No. 123

---

Entry 17:
First-principles (SCAN) data for SiAsAu2 at its PBEsol-relaxed geometry, as listed in Alexandria via LeMat-Bulk.

Structure (POSCAR):
```
SiAsAu2
1.0
2.7044 0.0000 0.0000
0.0000 3.9292 0.0000
0.0000 0.0000 6.8109
Si Au As
1 2 1
Direct
0.0000 0.5000 0.5000 Si
0.0000 0.0000 0.7346 Au
0.0000 0.0000 0.2654 Au
0.0000 0.5000 0.0000 As
```

- formation energy from raw total energies (meV per atom) = 86
- DOS(E_F) (states/eV/cell) = 1.800
- raw total energy (eV per atom) = -42.0441
- energy above the lowest structure with this stoichiometry (eV/atom) = 0.035
- crystal system = orthorhombic
- space group = No. 47

---

Entry 18:
First-principles (SCAN) data for SiAsAu2 at its PBEsol-relaxed geometry, as listed in Alexandria via LeMat-Bulk.

Structure (POSCAR):
```
SiAsAu2
1.0
-1.3543 -4.3977 -0.0726
0.3049 -2.5648 3.8090
-3.8196 -1.2686 2.2317
Si Au As
1 2 1
Direct
0.5000 0.5000 0.5000 Si
0.7500 0.7500 0.7500 Au
0.2500 0.2500 0.2500 Au
0.0000 0.0000 0.0000 As
```

- formation energy from raw total energies (meV per atom) = 337
- DOS(E_F) (states/eV/cell) = 1.480
- raw total energy (eV per atom) = -41.7932
- energy above the lowest structure with this stoichiometry (eV/atom) = 0.285
- crystal system = cubic
- space group = No. 225

---

Entry 19:
First-principles (SCAN) data for Si4AsAu at its PBEsol-relaxed geometry, as listed in Alexandria via LeMat-Bulk.

Structure (POSCAR):
```
Si4AsAu
1.0
5.1431 0.0000 0.0000
2.5716 4.4541 0.0000
2.5716 1.4847 4.1993
Si As Au
4 1 1
Direct
0.6249 0.6249 0.6249 Si
0.1252 0.6249 0.6249 Si
0.6249 0.1252 0.6249 Si
0.6249 0.6249 0.1252 Si
0.2500 0.2500 0.2500 As
0.0000 0.0000 0.0000 Au
```

- formation energy from raw total energies (meV per atom) = 748
- DOS(E_F) (states/eV/cell) = 2.614
- raw total energy (eV per atom) = -20.8208
- crystal system = cubic
- space group = No. 216

---

Entry 20:
First-principles (SCAN) data for SiAsAu2 at its PBEsol-relaxed geometry, as listed in Alexandria via LeMat-Bulk.

Structure (POSCAR):
```
SiAsAu2
1.0
-0.7069 -3.1241 -0.7859
2.2190 -2.3791 0.5414
-2.2961 -2.9047 6.6917
Au As Si
2 1 1
Direct
0.2432 0.2432 0.2703 Au
0.7568 0.7568 0.7297 Au
0.0000 0.0000 0.0000 As
0.5000 0.5000 0.5000 Si
```

- formation energy from raw total energies (meV per atom) = 51
- DOS(E_F) (states/eV/cell) = 1.669
- raw total energy (eV per atom) = -42.0787
- energy above the lowest structure with this stoichiometry (eV/atom) = 0.000
- crystal system = trigonal
- space group = No. 166